Record 1
DFT (PBE-GGA) results for a relaxed structure of LaMnSe3.

Values from the calculation:
D(E_F)   1.12 states/eV/f.u.
Volume   119 Å³/cell
Spin magnetization   3.9 μB per formula unit
Formation energy (no corrections)   -1.026 eV/atom
Relative energy among the computed polymorphs   0.179 eV/atom
Raw total energy   -5.936 eV/atom
Density   6.027 Mg/m³

Geometry as CIF:
```
data_LaMnSe3
_cell_length_a 4.914
_cell_length_b 4.914
_cell_length_c 4.914
_cell_angle_alpha 90.00
_cell_angle_beta 90.00
_cell_angle_gamma 90.00
_space_group_name_H-M_alt 'P m -3 m'
_space_group_IT_number 221
_space_group_name_Hall '-P 4 2 3'
loop_
_atom_site_label
_atom_site_type_symbol
_atom_site_fract_x
_atom_site_fract_y
_atom_site_fract_z
La1 La 0.000 0.000 0.000
Mn1 Mn 0.500 0.500 0.500
Se1 Se 0.000 0.500 0.500
```

***

Record 2
DFT (PBE-GGA) results for a relaxed structure of LaMnSe2.

Values from the calculation:
D(E_F)   2.39 states/eV/f.u.
Volume   196 Å³/cell
Spin magnetization   4.1 μB per formula unit
Formation energy (no corrections)   -1.018 eV/atom
Relative energy among the computed polymorphs   0.207 eV/atom
Raw total energy   -6.285 eV/atom
Density   5.973 Mg/m³

Geometry as CIF:
```
data_LaMnSe2
_cell_length_a 3.764
_cell_length_b 3.943
_cell_length_c 13.180
_cell_angle_alpha 90.00
_cell_angle_beta 90.00
_cell_angle_gamma 90.00
_space_group_name_H-M_alt 'I m m 2'
_space_group_IT_number 44
_space_group_name_Hall 'I 2 -2'
loop_
_atom_site_label
_atom_site_type_symbol
_atom_site_fract_x
_atom_site_fract_y
_atom_site_fract_z
La1 La 0.000 0.000 0.000
Mn1 Mn 0.000 0.500 0.732
Se1 Se 0.000 0.000 0.396
Se2 Se 0.000 0.500 0.172
```

***

Record 3
DFT (PBE-GGA) results for a relaxed structure of LaMnSe2.

Values from the calculation:
D(E_F)   3.05 states/eV/f.u.
Volume   415 Å³/cell
Spin magnetization   0.0 μB per formula unit
Formation energy (no corrections)   -1.212 eV/atom
Relative energy among the computed polymorphs   0.014 eV/atom
Raw total energy   -6.479 eV/atom
Density   5.626 Mg/m³

Geometry as CIF:
```
data_LaMnSe2
_cell_length_a 13.807
_cell_length_b 4.008
_cell_length_c 9.171
_cell_angle_alpha 90.00
_cell_angle_beta 125.10
_cell_angle_gamma 90.00
_space_group_name_H-M_alt 'C 1 2/m 1'
_space_group_IT_number 12
_space_group_name_Hall '-C 2y'
loop_
_atom_site_label
_atom_site_type_symbol
_atom_site_fract_x
_atom_site_fract_y
_atom_site_fract_z
La1 La 0.000 0.000 0.000
La2 La 0.000 0.000 0.500
Mn1 Mn 0.188 0.500 0.383
Se1 Se 0.031 0.500 0.786
Se2 Se 0.236 0.500 0.687
```

***

Record 4
DFT (PBE-GGA) results for a relaxed structure of LaMnSe.

Values from the calculation:
D(E_F)   3.54 states/eV/f.u.
Volume   65 Å³/cell
Spin magnetization   2.3 μB per formula unit
Formation energy (no corrections)   -0.689 eV/atom
Relative energy among the computed polymorphs   0.000 eV/atom
Raw total energy   -6.550 eV/atom
Density   6.955 Mg/m³

Geometry as CIF:
```
data_LaMnSe
_cell_length_a 4.2801
_cell_length_b 4.2801
_cell_length_c 4.1054
_cell_angle_alpha 90.00
_cell_angle_beta 90.00
_cell_angle_gamma 120.00
_space_group_name_H-M_alt 'P -6 m 2'
_space_group_IT_number 187
_space_group_name_Hall 'P -6 2'
loop_
_atom_site_label
_atom_site_type_symbol
_atom_site_fract_x
_atom_site_fract_y
_atom_site_fract_z
La1 La 0.0000 0.0000 0.0000
Mn1 Mn 0.3333 0.6667 0.5000
Se1 Se 0.6667 0.3333 0.5000
```

***

Record 5
DFT (PBE-GGA) results for a relaxed structure of La3MnSe6.

Values from the calculation:
D(E_F)   5.70 states/eV/f.u.
Volume   1187 Å³/cell
Spin magnetization   4.0 μB per formula unit
Formation energy (no corrections)   -1.585 eV/atom
Raw total energy   -6.071 eV/atom
Density   5.289 Mg/m³

Geometry as CIF:
```
data_La3MnSe6
_cell_length_a 11.631
_cell_length_b 14.345
_cell_length_c 7.115
_cell_angle_alpha 90.00
_cell_angle_beta 90.00
_cell_angle_gamma 90.00
_space_group_name_H-M_alt 'C m c 21'
_space_group_IT_number 36
_space_group_name_Hall 'C 2c -2'
loop_
_atom_site_label
_atom_site_type_symbol
_atom_site_fract_x
_atom_site_fract_y
_atom_site_fract_z
La1 La 0.000 0.104 0.000
La2 La 0.183 0.400 0.921
Mn1 Mn 0.000 0.304 0.375
Se1 Se 0.000 0.282 0.718
Se2 Se 0.000 0.460 0.229
Se3 Se 0.161 0.025 0.709
Se4 Se 0.164 0.240 0.211
```

***

Record 6
DFT (PBE-GGA) results for a relaxed structure of LaMnSe2.

Values from the calculation:
D(E_F)   8.08 states/eV/f.u.
Volume   330 Å³/cell
Spin magnetization   0.0 μB per formula unit
Formation energy (no corrections)   -0.461 eV/atom
Relative energy among the computed polymorphs   0.765 eV/atom
Raw total energy   -5.727 eV/atom
Density   7.073 Mg/m³

Geometry as CIF:
```
data_LaMnSe2
_cell_length_a 6.913
_cell_length_b 6.913
_cell_length_c 6.913
_cell_angle_alpha 90.00
_cell_angle_beta 90.00
_cell_angle_gamma 90.00
_space_group_name_H-M_alt 'F m -3 m'
_space_group_IT_number 225
_space_group_name_Hall '-F 4 2 3'
loop_
_atom_site_label
_atom_site_type_symbol
_atom_site_fract_x
_atom_site_fract_y
_atom_site_fract_z
La1 La 0.000 0.000 0.000
Mn1 Mn 0.000 0.000 0.500
Se1 Se 0.250 0.250 0.250
```